ZrBe2I, relaxed, DFT PBE; total magnetic moment = 0.000 μB/cell; raw formation energy = 0.733 eV/atom
1.0
-3.5343 3.5343 2.9426
3.5343 -3.5343 2.9426
3.5343 3.5343 -2.9426
Zr Be I
2 4 2
Direct
0.0000 0.0000 0.0000
0.7500 0.2500 0.5000
0.1395 0.6250 0.0145
0.3750 0.3895 0.5145
0.6105 0.1250 0.9855
0.8750 0.8605 0.4855
0.2500 0.7500 0.5000
0.5000 0.5000 0.0000